PaPb2: optimized geometry, PBE-GGA.

```
PaPb2
1.0
6.312 0.000 0.000
3.156 5.466 0.000
3.156 1.822 5.153
Pb Pa
4 2
Direct
0.625 0.625 0.625
0.625 0.125 0.625
0.125 0.625 0.625
0.625 0.625 0.125
0.000 0.000 0.000
0.250 0.250 0.250
```

Values from the calculation:
For the spin magnetization, the calculation gives 4.7 μB/cell. The formation energy is 38.7 kJ per mole of atoms. The density of states at the Fermi level is 10.852 states/eV per cell.

---

Pa4Pb: optimized geometry, PBE-GGA.

```
Pa4Pb
1.0
-2.500 0.223 5.091
2.160 -5.090 1.283
4.615 2.503 2.157
Pa Pb
4 1
Direct
0.000 0.500 0.500
0.500 0.000 0.500
0.000 0.000 0.000
0.500 0.500 0.000
0.500 0.500 0.500
```

Values from the calculation:
For the spin magnetization, the calculation gives 2.7 μB/cell. The formation energy is 161.9 kJ per mole of atoms. The density of states at the Fermi level is 15.643 states/eV per cell.